(1)
Ag12Sb5Te3: relaxed, PBE.

The space group is Ia-3d (No. 230) and the conventional cell measures 16.296, 16.296 and 16.296 Å, with angles of 90.00, 90.00 and 90.00 degrees. Symmetry generates all atoms from Ag at (0.014, 0.077, 0.652), Sb at (0.000, 0.000, 0.000), Sb at (0.000, 0.250, 0.375) and Te at (0.000, 0.250, 0.125).

Its formation energy without anion corrections is 378.4 kJ/mol of formula units. For the density of states at the Fermi level, the calculation gives 71.69 states/eV per cell. Its total magnetic moment is 0.000 μB/atom.

(2)
MgMnSi2: relaxed, PBE.

The space group is P4/mmm (No. 123) and the conventional cell measures 3.886, 3.886 and 3.878 Å, with angles of 90.00, 90.00 and 90.00 degrees. Symmetry generates all atoms from Mg at (0.000, 0.000, 0.000), Mn at (0.500, 0.500, 0.000) and Si at (0.000, 0.500, 0.500).

Its formation energy without anion corrections is 41.6 kJ/mol of formula units. For the density of states at the Fermi level, the calculation gives 2.32 states/eV per cell. Its total magnetic moment is 0.797 μB/atom.

Number 1 is which compound?
Ag12Sb5Te3

Among the records above, which one has the lowest total magnetic moment?
Ag12Sb5Te3